RbTmGeTe3: optimized geometry, PBE.

Properties
V (Å³ per cell): 900.9
Energy above the most stable polymorph in this dataset (kJ per mole of atoms): 0.0

The structure in POSCAR format:
```
RbTmGeTe3
1.0
17.2350 0.0000 0.0000
0.0000 4.2896 0.0000
0.0000 0.0000 12.1860
Rb Tm Ge Te
4 4 4 12
direct
0.2260 0.2500 0.0731
0.2740 0.7500 0.5731
0.7260 0.2500 0.4269
0.7740 0.7500 0.9269
0.0108 0.7500 0.6500
0.4892 0.2500 0.1500
0.5108 0.7500 0.8500
0.9892 0.2500 0.3500
0.0319 0.2500 0.9249
0.4681 0.7500 0.4249
0.5319 0.2500 0.5751
0.9681 0.7500 0.0751
0.0828 0.7500 0.2264
0.1050 0.2500 0.5363
0.1260 0.7500 0.8433
0.3740 0.2500 0.3433
0.3950 0.7500 0.0363
0.4172 0.2500 0.7264
0.5828 0.7500 0.2736
0.6050 0.2500 0.9637
0.6260 0.7500 0.6567
0.8740 0.2500 0.1567
0.8950 0.7500 0.4637
0.9172 0.2500 0.7736
```